Entry 1:
PBE SrPuRh, relaxed; V = 92 Å³ per cell; ΔE to the lowest computed polymorph = 0.2635 eV/atom; spin magnetization = 5.642 Bohr magnetons per cell; E = -7.778 eV/atom; crystal system = trigonal
1.0
-2.595 0.402 4.492
3.318 -2.205 2.114
0.131 4.496 -0.326
Rh Sr Pu
1 1 1
Direct
0.168 0.000 0.000 Rh
0.666 0.667 0.333 Sr
0.166 0.333 0.667 Pu

---

Entry 2:
PBE Sr2Pu2Rh3, relaxed; V = 177 Å³ per cell; spin magnetization = 10.062 Bohr magnetons per cell; E = -8.047 eV/atom; crystal system = monoclinic
1.0
-3.754 -1.735 1.121
4.648 -4.093 1.040
2.533 3.579 5.842
Rh Sr Pu
3 2 2
Direct
0.000 0.000 0.000 Rh
0.042 0.370 0.714 Rh
0.958 0.630 0.286 Rh
0.304 0.221 0.388 Sr
0.696 0.779 0.612 Sr
0.383 0.708 0.059 Pu
0.617 0.292 0.941 Pu

---

Entry 3:
PBE SrPu2Rh9, relaxed; V = 214 Å³ per cell; spin magnetization = 7.700 Bohr magnetons per cell; E = -8.347 eV/atom; crystal system = trigonal
1.0
5.091 0.000 1.515
2.320 4.531 1.515
0.013 0.008 9.266
Sr Rh Pu
1 9 2
Direct
0.000 0.000 0.000 Sr
0.586 0.081 0.747 Rh
0.919 0.414 0.253 Rh
0.414 0.919 0.253 Rh
0.667 0.667 0.000 Rh
0.500 0.500 0.500 Rh
0.333 0.333 0.000 Rh
0.586 0.586 0.747 Rh
0.081 0.586 0.747 Rh
0.414 0.414 0.253 Rh
0.140 0.140 0.580 Pu
0.860 0.860 0.420 Pu

---

Entry 4:
PBE SrPuRh, relaxed; V = 83 Å³ per cell; ΔE to the lowest computed polymorph = 0.1047 eV/atom; spin magnetization = 5.389 Bohr magnetons per cell; E = -7.937 eV/atom; crystal system = tetragonal
1.0
3.657 0.000 0.000
0.000 3.657 0.000
-1.829 -1.829 6.208
Pu Rh Sr
1 1 1
Direct
0.285 0.285 0.569 Pu
0.701 0.701 0.401 Rh
0.015 0.015 0.030 Sr

---

Entry 5:
PBE Sr3PuRh3, relaxed; V = 388 Å³ per cell; spin magnetization = 9.926 Bohr magnetons per cell; E = -6.169 eV/atom; crystal system = monoclinic
1.0
-3.589 -2.677 0.378
0.147 -3.161 5.730
-8.832 8.999 6.576
Sr Rh Pu
6 6 2
Direct
0.500 0.634 0.366 Sr
0.598 0.731 0.074 Sr
0.732 0.749 0.786 Sr
0.268 0.251 0.214 Sr
0.500 0.366 0.634 Sr
0.402 0.269 0.926 Sr
0.084 0.913 0.920 Rh
0.072 0.103 0.753 Rh
0.916 0.087 0.080 Rh
0.880 0.704 0.537 Rh
0.928 0.897 0.247 Rh
0.120 0.296 0.463 Rh
0.234 0.943 0.589 Pu
0.766 0.057 0.411 Pu

---

Entry 6:
PBE PuTaRh, relaxed; V = 58 Å³ per cell; ΔE to the lowest computed polymorph = 0.0000 eV/atom; spin magnetization = 4.613 Bohr magnetons per cell; E = -11.324 eV/atom; crystal system = tetragonal
1.0
3.116 0.000 0.000
0.000 3.116 0.000
-1.558 -1.558 5.999
Pu Rh Ta
1 1 1
Direct
0.001 0.001 0.001 Pu
0.311 0.311 0.622 Rh
0.688 0.688 0.376 Ta

---

Entry 7:
PBE PuTaRh, relaxed; V = 55 Å³ per cell; ΔE to the lowest computed polymorph = 0.1600 eV/atom; spin magnetization = 5.158 Bohr magnetons per cell; E = -11.164 eV/atom; crystal system = trigonal
1.0
2.918 0.000 0.000
0.000 4.657 0.000
0.000 -2.328 4.033
Rh Pu Ta
1 1 1
Direct
0.683 0.667 0.333 Rh
0.004 0.000 0.000 Pu
0.313 0.333 0.667 Ta

---

Entry 8:
PBE PuTa2Rh, relaxed; V = 76 Å³ per cell; spin magnetization = 5.157 Bohr magnetons per cell; E = -11.067 eV/atom; crystal system = trigonal
1.0
2.907 0.000 0.000
1.454 2.518 0.000
1.454 0.839 10.330
Ta Pu Rh
2 1 1
Direct
0.905 0.905 0.285 Ta
0.095 0.095 0.715 Ta
0.000 0.000 0.000 Pu
0.500 0.500 0.500 Rh

---

Entry 9:
PBE Tb2PuRh2, relaxed; V = 247 Å³ per cell; spin magnetization = 10.605 Bohr magnetons per cell; E = -8.206 eV/atom; crystal system = monoclinic
1.0
4.216 0.000 0.000
0.000 5.619 -0.933
0.000 -2.935 10.931
Rh Tb Pu
4 4 2
Direct
0.250 0.308 0.966 Rh
0.750 0.104 0.354 Rh
0.750 0.692 0.034 Rh
0.250 0.896 0.646 Rh
0.250 0.764 0.876 Tb
0.250 0.286 0.537 Tb
0.750 0.714 0.463 Tb
0.750 0.236 0.124 Tb
0.250 0.810 0.206 Pu
0.750 0.190 0.794 Pu

---

Entry 10:
PBE TbPu5Rh6, relaxed; V = 242 Å³ per cell; spin magnetization = 14.499 Bohr magnetons per cell; E = -10.493 eV/atom; crystal system = orthorhombic
1.0
0.709 -4.480 -1.528
0.253 -2.153 6.432
-7.836 2.183 -2.542
Pu Rh Tb
5 6 1
Direct
0.331 0.831 0.663 Pu
0.000 0.500 0.000 Pu
0.669 0.169 0.337 Pu
0.662 0.662 0.324 Pu
0.338 0.338 0.676 Pu
0.831 0.586 0.661 Rh
0.500 0.251 0.000 Rh
0.169 0.414 0.339 Rh
0.169 0.925 0.339 Rh
0.831 0.075 0.661 Rh
0.500 0.749 0.000 Rh
0.000 0.000 0.000 Tb

---

Entry 11:
PBE TbPuRh2, relaxed; V = 81 Å³ per cell; spin magnetization = 4.771 Bohr magnetons per cell; E = -9.028 eV/atom; crystal system = tetragonal
1.0
3.471 0.000 0.000
0.000 4.830 0.000
0.000 0.000 4.830
Pu Tb Rh
1 1 2
Direct
0.500 0.500 0.500 Pu
0.500 0.000 0.000 Tb
0.000 0.500 0.000 Rh
0.000 0.000 0.500 Rh

---

Entry 12:
PBE TbPu2Rh, relaxed; V = 108 Å³ per cell; ΔE to the lowest computed polymorph = 0.2439 eV/atom; spin magnetization = 11.510 Bohr magnetons per cell; E = -10.049 eV/atom; crystal system = trigonal
1.0
3.513 0.000 0.000
1.756 3.042 0.000
1.756 1.014 10.124
Pu Tb Rh
2 1 1
Direct
0.104 0.104 0.689 Pu
0.896 0.896 0.311 Pu
0.000 0.000 0.000 Tb
0.500 0.500 0.500 Rh

---

What E_form values result from the calculations? In sequence: 10; -321; -305; -149; -250; -145; 15; 281; -547; -460; -612; 112 meV per atom.